Density functional theory data (PBE-GGA) for a relaxed Ce2Dy5Tm2 crystal.

Cell lengths 8.715, 8.715, 6.603 Å; angles 111.20, 111.20, 37.11 degrees
Atoms (fractional coordinates):
Ce  0.077  0.077  0.487
Ce  0.923  0.923  0.513
Dy  0.000  0.000  0.000
Dy  0.207  0.207  0.054
Dy  0.322  0.322  0.648
Dy  0.678  0.678  0.352
Dy  0.793  0.793  0.946
Tm  0.438  0.438  0.223
Tm  0.562  0.562  0.777

## Properties
Its formation energy from the elements is 0.1144 eV per atom. Its crystal system is monoclinic. Its symmetry is C2/m (12). As for the total energy: -4.7546 eV per atom.

=====

Density functional theory data (PBE-GGA) for a relaxed LaMg2In crystal.

Cell lengths 11.337, 11.337, 11.337 Å; angles 16.99, 16.99, 16.99 degrees
Atoms (fractional coordinates):
La  0.000  0.000  0.000
Mg  0.244  0.244  0.244
Mg  0.756  0.756  0.756
In  0.500  0.500  0.500

## Properties
Its formation energy from the elements is -0.0450 eV per atom. Its crystal system is trigonal. Its symmetry is R-3m (166). As for the total energy: -2.7588 eV per atom.

=====

Density functional theory data (PBE-GGA) for a relaxed Ca4TlSe crystal.

Cell lengths 6.646, 6.646, 6.646 Å; angles 60.00, 60.00, 60.00 degrees
Atoms (fractional coordinates):
Ca  0.125  0.125  0.125
Ca  0.125  0.125  0.625
Ca  0.125  0.625  0.125
Ca  0.625  0.125  0.125
Tl  0.500  0.500  0.500
Se  0.750  0.750  0.750

## Properties
Its crystal system is cubic. Its symmetry is F-43m (216). The value obtained for the formation energy from raw total energies is 4.90 kJ per mole of atoms. As for the total energy: -2.2588 eV per atom.